! ScHgPb2 (PBE-GGA, optimized geometry); values from VASP
! Symmetry ... No. 25
! Magnetization ... 0.00 μB per cell
! Calculated formation energy ... -0.12 eV per atom
&SYSTEM
  ibrav = 0, nat = 4, ntyp = 3
/
ATOMIC_SPECIES
Pb 207.20 Pb.upf
Sc 44.96 Sc.upf
Hg 200.59 Hg.upf
ATOMIC_POSITIONS angstrom
Pb 0.0000 0.0000 6.4748
Pb 1.8096 2.2037 1.8171
Sc 0.0000 0.0000 3.2648
Hg 1.8096 2.2037 4.8724
CELL_PARAMETERS angstrom
3.6192 0.0000 0.0000
0.0000 4.4075 0.0000
0.0000 0.0000 6.5716